Arrangement P

A plane-wave DFT calculation with GGA-PBE was carried out for a relaxed LiPaSn2 crystal.

Cell: 5.593 5.593 3.127 Å, 90.00 90.00 90.00°
Space group P4/mmm (No. 123)
Symmetry-distinct sites (fractional):
Li: 0.000 0.000 0.000 (multiplicity 1)
Pa: 0.500 0.500 0.000 (multiplicity 1)
Sn: 0.000 0.500 0.500 (multiplicity 2)

Summary:
V   98 Å³/cell
Size of the total moment   0.00 Bohr magnetons per cell

=====

Arrangement Q

A plane-wave DFT calculation with GGA-PBE was carried out for a relaxed LiPaSn2 crystal.

Cell: 7.308 7.308 7.308 Å, 90.00 90.00 90.00°
Space group Fm-3m (No. 225)
Symmetry-distinct sites (fractional):
Li: 0.000 0.000 0.000 (multiplicity 4)
Pa: 0.000 0.000 0.500 (multiplicity 4)
Sn: 0.250 0.250 0.250 (multiplicity 8)

Summary:
V   390 Å³/cell
Size of the total moment   2.40 Bohr magnetons per cell

=====

Arrangement R

A plane-wave DFT calculation with GGA-PBE was carried out for a relaxed LiPaSn2 crystal.

Cell: 3.461 3.461 7.560 Å, 90.00 90.00 90.00°
Space group P4/mmm (No. 123)
Symmetry-distinct sites (fractional):
Li: 0.000 0.000 0.000 (multiplicity 1)
Pa: 0.000 0.000 0.500 (multiplicity 1)
Sn: 0.500 0.500 0.214 (multiplicity 2)

Summary:
V   91 Å³/cell
Size of the total moment   0.67 Bohr magnetons per cell

=====

Arrangement S

A plane-wave DFT calculation with GGA-PBE was carried out for a relaxed LiPaSn2 crystal.

Cell: 4.6962 4.6962 15.2505 Å, 90.00 90.00 120.00°
Space group R-3m (No. 166, hexagonal axes)
Symmetry-distinct sites (fractional):
Li: 0.0000 0.0000 0.0000 (multiplicity 3)
Pa: 0.0000 0.0000 0.5000 (multiplicity 3)
Sn: 0.0000 0.0000 0.2697 (multiplicity 6)

Summary:
V   291 Å³/cell
Size of the total moment   2.44 Bohr magnetons per cell

=====

It is arrangement P that is the most stable of them.